Density functional theory data (GGA-PBE) for crystalline Pu2ScTi at its relaxed geometry.

## Properties
Energy above the lowest structure with this stoichiometry, meV per atom: 0.0
Calculated volume, A^3/atom: 22.11
Calculated formation energy, kJ/mol of formula units: 68
Space group: P4/mmm (123)

abc: 4.397 4.397 4.575
angles: 90.00 90.00 90.00
Positions (direct):
Pu 0.000 0.500 0.000
Pu 0.500 0.000 0.000
Sc 0.000 0.000 0.500
Ti 0.500 0.500 0.500